PmPr2MoO8, relaxed, DFT PBE with a Hubbard U; energy = -7.581 eV/atom; total magnetization = 0.96 μB per formula unit; space group = P2/m (10)
1.0
-4.0381 0.8908 1.1447
1.1802 -2.9139 4.4730
2.2835 6.0564 3.3428
O Pr Mo Pm
8 2 1 1
direct
0.0587 0.7675 0.7955
0.5897 0.8184 0.0000
0.4762 0.2455 0.5000
0.5238 0.7545 0.5000
0.4103 0.1816 0.0000
0.9414 0.2325 0.7955
0.0586 0.7675 0.2045
0.9413 0.2325 0.2045
0.5000 0.5000 0.7534
0.5000 0.5000 0.2466
0.0000 0.0000 0.0000
0.0000 0.0000 0.5000